The following is a DFT calculation (PBE) of crystalline ZrFeRh2Se at its relaxed geometry.

a b c (Å): 4.5876 4.5876 4.3298
angles (deg): 90.00 90.00 90.00
Fractional positions:
Zr (0.0000, 0.0000, 0.0000)
Fe (0.5000, 0.5000, 0.0000)
Rh (0.0000, 0.5000, 0.5000)
Rh (0.5000, 0.0000, 0.5000)
Se (0.5000, 0.5000, 0.5000)

Computed properties:
For the total energy, the calculation gives -6.83 eV/atom. The formation energy without anion corrections is 205 meV per atom.